No. 1
Density functional theory data (meta-GGA SCAN) for SrMg30CdO32 at its PBEsol-relaxed geometry.

```
64
Lattice="-7.675 -1.465 -3.500 0.946 -8.383 1.436 -3.673 0.901 7.677" Properties=species:S:1:pos:R:3 pbc="T T T"
O -5.603 -1.070 -2.555
O -2.072 -0.396 -0.945
O -5.438 -2.370 2.446
O -1.487 -4.566 -0.176
O -4.279 -4.700 0.880
O -4.433 -1.788 5.242
O -3.796 0.076 2.945
O -0.407 -3.976 2.557
O -7.009 -4.819 1.982
O -1.610 -1.558 4.182
O -4.767 -0.505 0.193
O -3.598 -2.854 -1.386
O -6.442 -2.971 -0.346
O 0.691 -6.129 1.050
O -5.243 -5.283 -1.888
O -0.987 0.242 2.064
O -3.960 -5.976 5.960
O -5.969 -7.160 0.371
O -2.685 0.658 5.613
O -7.804 -6.710 4.207
O -4.964 -6.578 3.167
O -6.123 -4.248 4.734
O -2.320 -3.507 6.556
O -2.125 -6.426 2.124
O -3.131 -6.994 -0.677
O -3.393 -4.129 3.631
O -1.117 -5.925 4.930
O -2.598 -2.238 1.406
O 0.254 -2.254 0.386
O -7.552 -0.641 1.232
O -8.277 -2.522 3.489
O -6.581 -0.060 3.984
Mg -2.894 -0.144 1.064
Mg -3.067 -6.221 4.032
Mg -3.365 -4.924 -1.032
Mg -5.674 -0.282 2.089
Mg 0.473 -4.192 0.718
Mg -6.859 -6.945 2.303
Mg -4.229 -3.885 5.602
Mg -2.505 -1.446 6.099
Mg -7.334 -2.727 1.581
Mg -4.695 0.297 4.827
Mg -5.476 -3.228 -2.241
Mg -1.836 0.450 3.839
Mg -1.717 -2.511 -0.527
Mg -5.882 -6.342 5.081
Mg -3.837 -0.733 -1.750
Mg -6.354 -2.156 4.365
Mg -6.173 -5.062 0.011
Mg -8.020 -4.609 3.874
Mg -0.689 -1.892 2.304
Mg -8.453 -0.420 3.113
Mg -5.012 -7.338 -1.537
Mg -5.201 -4.474 2.807
Mg -6.653 -0.862 -0.650
Mg -1.254 -6.620 0.177
Mg -4.048 -6.791 1.249
Mg -0.222 -6.036 3.014
Mg -2.381 -4.339 1.740
Mg -4.520 -2.606 0.532
Mg -3.543 -2.003 3.310
Mg -2.038 -5.591 6.809
Cd -1.363 -3.741 4.556
Sr 0.000 0.000 0.000
```

M_tot	0.00	μB/cell
formation energy without anion corrections	-2.9004	eV per atom
energy	-586.927	eV/cell

***

No. 2
Density functional theory data (meta-GGA SCAN) for InTcAu2Cl at its PBEsol-relaxed geometry.

```
5
Lattice="-1.909 -4.194 -0.700 4.248 -1.914 -0.118 -0.208 -0.785 5.274" Properties=species:S:1:pos:R:3 pbc="T T T"
Tc 1.065 -3.447 2.228
Cl 0.000 0.000 0.000
Au -0.955 -2.097 -0.350
Au 2.124 -0.957 -0.059
In -0.104 -0.393 2.637
```

M_tot	3.90	μB/cell
formation energy without anion corrections	1.2992	eV per atom
energy	-208.242	eV/cell

***

No. 3
Density functional theory data (meta-GGA SCAN) for BeCrMo at its PBEsol-relaxed geometry.

```
3
Lattice="-1.440 2.167 0.156 -1.079 -2.320 0.494 1.526 0.579 6.053" Properties=species:S:1:pos:R:3 pbc="T T T"
Be 1.508 0.573 5.982
Cr -0.152 -0.427 4.534
Mo -0.823 0.860 2.239
```

M_tot	0.00	μB/cell
energy	-56.285	eV/cell

***

No. 4
Density functional theory data (meta-GGA SCAN) for La2YAg at its PBEsol-relaxed geometry.

```
4
Lattice="3.564 0.054 0.000 -1.238 5.799 0.000 -1.163 -2.927 5.373" Properties=species:S:1:pos:R:3 pbc="T T T"
La -0.582 -1.463 2.686
La 0.582 1.463 2.686
Ag -0.619 2.900 0.000
Y 1.782 0.027 0.000
```

M_tot	0.00	μB/cell
excess energy over the best structure of this formula in the dataset	0.87	eV/f.u.
energy	-145.188	eV/cell

***

No. 5
Density functional theory data (meta-GGA SCAN) for Dy2InAg at its PBEsol-relaxed geometry.

```
4
Lattice="-0.738 -5.102 -0.125 3.070 -3.117 2.729 -1.839 -2.441 4.153" Properties=species:S:1:pos:R:3 pbc="T T T"
Dy 0.123 -2.665 1.689
Dy 0.369 -7.995 5.067
Ag 0.000 0.000 0.000
In 0.246 -5.330 3.378
```

M_tot	0.00	μB/cell
energy	-162.398	eV/cell

***

No. 6
Density functional theory data (meta-GGA SCAN) for Y2ReNi at its PBEsol-relaxed geometry.

```
4
Lattice="-2.251 0.671 1.853 -1.147 -4.478 0.228 3.484 -0.665 4.473" Properties=species:S:1:pos:R:3 pbc="T T T"
Y 3.273 -0.625 4.202
Y -0.625 -2.108 2.418
Re 1.056 -2.429 4.577
Ni 1.609 -0.307 2.065
```

M_tot	0.00	μB/cell
energy	-141.355	eV/cell

***

No. 7
Density functional theory data (meta-GGA SCAN) for CaAg4W at its PBEsol-relaxed geometry.

```
6
Lattice="5.412 0.000 0.000 2.706 4.687 0.000 2.706 1.562 4.419" Properties=species:S:1:pos:R:3 pbc="T T T"
Ag 6.769 2.342 1.656
Ag 5.412 4.691 1.656
Ag 5.412 3.125 3.871
Ag 4.056 2.342 1.656
W 0.000 0.000 0.000
Ca 8.118 4.687 3.314
```

M_tot	3.18	μB/cell
energy	-201.433	eV/cell

***

No. 8
Density functional theory data (meta-GGA SCAN) for BaBiSeN2 at its PBEsol-relaxed geometry.

```
5
Lattice="-2.688 -1.299 -3.238 -1.406 -3.338 2.506 -4.455 3.576 2.264" Properties=species:S:1:pos:R:3 pbc="T T T"
Ba 0.000 0.000 0.000
N -1.344 -0.649 -1.619
N -0.703 -1.669 1.253
Se -2.228 1.788 1.132
Bi -4.274 -0.531 0.766
```

M_tot	1.13	μB/cell
formation energy without anion corrections	1.4224	eV per atom
energy	-149.679	eV/cell

***

No. 9
Density functional theory data (meta-GGA SCAN) for NbCoB2 at its PBEsol-relaxed geometry.

```
16
Lattice="-0.505 -1.429 2.757 5.015 -3.046 -0.661 4.083 5.897 3.804" Properties=species:S:1:pos:R:3 pbc="T T T"
Co 1.249 1.187 3.537
Co 2.632 -1.959 2.159
Co 7.345 0.235 2.363
Co 5.961 3.381 3.741
B 4.508 -2.603 2.169
B 5.835 -0.014 3.754
B 4.085 4.025 3.731
B 5.952 1.577 2.804
B 4.742 3.552 5.401
B 2.642 -0.155 3.096
B 2.759 1.435 2.146
B 3.852 -2.130 0.499
Nb 7.492 1.415 4.798
Nb 4.569 -0.130 1.666
Nb 4.024 1.552 4.234
Nb 1.101 0.006 1.102
```

M_tot	0.00	μB/cell
excess energy over the best structure of this formula in the dataset	0.00	eV/f.u.
energy	-270.291	eV/cell

***

No. 10
Density functional theory data (meta-GGA SCAN) for Ir5Br at its PBEsol-relaxed geometry.

```
6
Lattice="-1.801 1.966 0.760 -2.231 -0.591 -3.759 -3.248 -6.041 2.878" Properties=species:S:1:pos:R:3 pbc="T T T"
Ir -4.335 -2.139 0.321
Ir -2.690 -3.280 2.113
Ir -2.315 -0.741 1.490
Ir -2.075 -1.466 -1.126
Ir -4.743 -4.719 0.969
Br -0.051 -0.062 0.040
```

M_tot	0.00	μB/cell
formation energy without anion corrections	0.7998	eV per atom
energy	-370.157	eV/cell

***

No. 11
Density functional theory data (meta-GGA SCAN) for MgCrW2 at its PBEsol-relaxed geometry.

```
4
Lattice="2.675 0.000 0.000 0.000 2.675 0.000 0.000 0.000 8.612" Properties=species:S:1:pos:R:3 pbc="T T T"
Cr 1.337 1.337 0.000
W 0.000 0.000 1.969
W 0.000 0.000 6.644
Mg 1.337 1.337 4.306
```

M_tot	2.48	μB/cell
excess energy over the best structure of this formula in the dataset	0.00	eV/f.u.
energy	-160.717	eV/cell

***

No. 12
Density functional theory data (meta-GGA SCAN) for Cr2SbRh at its PBEsol-relaxed geometry.

```
4
Lattice="2.949 0.000 0.000 0.000 4.570 0.004 0.000 -1.372 4.359" Properties=species:S:1:pos:R:3 pbc="T T T"
Cr 0.000 -0.686 2.179
Cr 0.000 2.285 0.002
Sb 1.475 1.599 2.181
Rh 1.475 0.000 0.000
```

M_tot	6.02	μB/cell
formation energy without anion corrections	0.0409	eV per atom
energy	-107.638	eV/cell

***

No. 13
Density functional theory data (meta-GGA SCAN) for TeWI2Cl at its PBEsol-relaxed geometry.

```
5
Lattice="5.168 0.000 0.000 0.000 5.358 0.000 0.000 0.000 5.358" Properties=species:S:1:pos:R:3 pbc="T T T"
Cl 2.584 2.679 2.679
Te 2.584 0.000 0.000
W 0.000 0.000 0.000
I 0.000 2.679 0.000
I 0.000 0.000 2.679
```

M_tot	0.00	μB/cell
formation energy without anion corrections	0.4689	eV per atom
energy	-186.056	eV/cell

***

no.,volume (Å³/atom)
1,9.80
2,23.18
3,12.29
4,27.85
5,24.23
6,19.76
7,18.68
8,23.84
9,9.43
10,14.89
11,15.40
12,14.69
13,29.67